1.
An optimized crystal structure of BaTaAs2, computed with PBE.

extended XYZ file:
```
8
Lattice="3.5296 0.0000 0.0000 0.0000 3.7467 0.0000 0.0000 0.0000 15.1974" Properties=species:S:1:pos:R:3 pbc="T T T"
Ba 0.0000 0.0000 0.0000
Ba 1.7648 1.8734 7.5987
Ta 0.0000 1.8734 11.4152
Ta 1.7648 0.0000 3.8165
As 0.0000 0.0000 5.6867
As 0.0000 1.8734 2.8211
As 1.7648 0.0000 10.4198
As 1.7648 1.8734 13.2854
```

Size of the total moment: 0.00 μB/cell
ΔE_f: -0.454 eV/atom
Space-group type: Imm2
Polymorph energy (0 for the lowest one): 0.66 eV/f.u.

2.
An optimized crystal structure of SrHfRh3, computed with PBE.

extended XYZ file:
```
5
Lattice="4.8753 0.0000 0.0000 0.0000 4.8753 0.0000 0.0000 0.0000 4.8753" Properties=species:S:1:pos:R:3 pbc="T T T"
Sr 0.0000 0.0000 0.0000
Hf 2.4376 2.4376 2.4376
Rh 0.0000 2.4376 2.4376
Rh 2.4376 0.0000 2.4376
Rh 2.4376 2.4376 0.0000
```

Size of the total moment: 0.00 μB/cell
ΔE_f: 0.044 eV/atom
Space-group type: Pm-3m
Polymorph energy (0 for the lowest one): 0.00 eV/f.u.

3.
An optimized crystal structure of LaBeSe4, computed with PBE.

extended XYZ file:
```
6
Lattice="0.0000 4.1016 4.1016 4.1016 0.0000 4.1016 4.1016 4.1016 0.0000" Properties=species:S:1:pos:R:3 pbc="T T T"
La 0.0000 0.0000 0.0000
Be 2.0508 2.0508 2.0508
Se 5.1222 3.0809 3.0809
Se 3.0809 5.1222 3.0809
Se 3.0809 3.0809 5.1222
Se 5.1222 5.1222 5.1222
```

E: -22.3 eV/cell
Size of the total moment: 0.00 μB/cell
Space-group type: F-43m

4.
An optimized crystal structure of TlNiMo, computed with PBE.

extended XYZ file:
```
3
Lattice="2.9625 0.0000 0.0000 -1.4812 2.5656 0.0000 0.0000 0.0000 6.7369" Properties=species:S:1:pos:R:3 pbc="T T T"
Tl 0.0000 0.0000 0.0000
Ni 0.0000 1.7104 4.4504
Mo 1.4812 0.8552 2.5461
```

Size of the total moment: 0.00 μB/cell
ΔE_f: 0.577 eV/atom
Space-group type: P3m1
Polymorph energy (0 for the lowest one): 0.48 eV/f.u.

5.
An optimized crystal structure of ErMg2Hg8, computed with PBE.

extended XYZ file:
```
11
Lattice="7.8781 -2.3707 0.0000 7.8781 2.3707 0.0000 -2.0476 0.0000 6.8575" Properties=species:S:1:pos:R:3 pbc="T T T"
Er 0.0000 0.0000 0.0000
Mg 3.4897 0.0000 2.3610
Mg 10.2190 0.0000 4.4965
Hg 0.5595 0.0000 3.2001
Hg 1.0428 0.0000 6.2610
Hg 4.0644 0.0000 5.3368
Hg 6.5150 0.0000 1.7418
Hg 7.1937 0.0000 5.1157
Hg 9.6442 0.0000 1.5208
Hg 12.6658 0.0000 0.5965
Hg 13.1491 0.0000 3.6575
```

Size of the total moment: 0.00 μB/cell
ΔE_f: -0.161 eV/atom
Space-group type: C2/m

6.
An optimized crystal structure of HfTlS2, computed with PBE.

extended XYZ file:
```
16
Lattice="3.8622 0.0000 0.0000 0.0000 22.7099 0.0000 0.0000 0.0000 5.0102" Properties=species:S:1:pos:R:3 pbc="T T T"
Hf 0.0000 1.4356 1.2526
Hf 0.0000 21.2743 3.7577
Hf 1.9311 9.9193 3.7577
Hf 1.9311 12.7906 1.2526
Tl 0.0000 7.1711 1.2526
Tl 0.0000 15.5388 3.7577
Tl 1.9311 4.1839 3.7577
Tl 1.9311 18.5260 1.2526
S 0.0000 1.1688 3.7577
S 0.0000 3.7893 1.2526
S 0.0000 18.9206 3.7577
S 0.0000 21.5411 1.2526
S 1.9311 7.5657 3.7577
S 1.9311 10.1862 1.2526
S 1.9311 12.5237 3.7577
S 1.9311 15.1442 1.2526
```

E: -93.6 eV/cell
Size of the total moment: 1.79 μB/cell
Space-group type: Cmcm

7.
An optimized crystal structure of Ag2AsC, computed with PBE.

extended XYZ file:
```
16
Lattice="6.3095 0.0000 0.0000 0.0000 6.3095 0.0000 0.0000 0.0000 6.3095" Properties=species:S:1:pos:R:3 pbc="T T T"
Ag 1.5774 1.5774 1.5774
Ag 1.5774 1.5774 4.7321
Ag 1.5774 4.7321 1.5774
Ag 1.5774 4.7321 4.7321
Ag 4.7321 1.5774 1.5774
Ag 4.7321 1.5774 4.7321
Ag 4.7321 4.7321 1.5774
Ag 4.7321 4.7321 4.7321
As 0.0000 0.0000 0.0000
As 0.0000 3.1548 3.1548
As 3.1548 0.0000 3.1548
As 3.1548 3.1548 0.0000
C 0.0000 0.0000 3.1548
C 0.0000 3.1548 0.0000
C 3.1548 0.0000 0.0000
C 3.1548 3.1548 3.1548
```

Size of the total moment: 0.00 μB/cell
ΔE_f: 1.359 eV/atom
Space-group type: Fm-3m
Polymorph energy (0 for the lowest one): 0.26 eV/f.u.

> Among the records above, which one has the highest size of the total moment?

HfTlS2